[1]
# PBE Sc3Mo, optimized geometry
data_Sc3Mo
_symmetry_space_group_name_H-M 'P 63/m m c'
_symmetry_Int_Tables_number 194
_symmetry_space_group_name_Hall '-P 6c 2c'
_cell_length_a 6.2340
_cell_length_b 6.2340
_cell_length_c 4.9209
_cell_angle_alpha 90.00
_cell_angle_beta 90.00
_cell_angle_gamma 120.00
loop_
_atom_site_label
_atom_site_type_symbol
_atom_site_fract_x
_atom_site_fract_y
_atom_site_fract_z
Sc1 Sc 0.1700 0.3400 0.2500
Mo1 Mo 0.3333 0.6667 0.7500
# M_tot   0.0 μB/f.u.
# Final energy   -58.91 eV per cell
# E_form   0.37 eV per formula unit



[2]
# PBE Sc3Mo, optimized geometry
data_Sc3Mo
_symmetry_space_group_name_H-M 'C m c m'
_symmetry_Int_Tables_number 63
_symmetry_space_group_name_Hall '-C 2c 2'
_cell_length_a 6.276
_cell_length_b 10.975
_cell_length_c 4.876
_cell_angle_alpha 90.00
_cell_angle_beta 90.00
_cell_angle_gamma 90.00
loop_
_atom_site_label
_atom_site_type_symbol
_atom_site_fract_x
_atom_site_fract_y
_atom_site_fract_z
Sc1 Sc 0.000 0.080 0.250
Sc2 Sc 0.240 0.335 0.250
Mo1 Mo 0.000 0.434 0.750
# M_tot   0.0 μB/f.u.
# Final energy   -117.00 eV per cell
# E_form   0.58 eV per formula unit



[3]
# PBE Sc5Mo, optimized geometry
data_Sc5Mo
_symmetry_space_group_name_H-M 'C 1 m 1'
_symmetry_Int_Tables_number 8
_cell_length_a 11.447
_cell_length_b 3.581
_cell_length_c 6.916
_cell_angle_alpha 90.00
_cell_angle_beta 107.42
_cell_angle_gamma 90.00
loop_
_symmetry_equiv_pos_as_xyz
'x,y,z'
'x,-y,z'
'x+1/2,y+1/2,z'
'x+1/2,-y+1/2,z'
loop_
_atom_site_label
_atom_site_type_symbol
_atom_site_fract_x
_atom_site_fract_y
_atom_site_fract_z
Sc1 Sc 0.000 0.000 0.000
Sc2 Sc 0.003 0.000 0.567
Sc3 Sc 0.181 0.500 0.396
Sc4 Sc 0.216 0.500 0.857
Sc5 Sc 0.349 0.000 0.236
Mo1 Mo 0.345 0.000 0.662
# M_tot   0.0 μB/f.u.
# Final energy   -84.04 eV per cell
# E_form   0.47 eV per formula unit



[4]
# PBE Sc4Mo, optimized geometry
data_Sc4Mo
_symmetry_space_group_name_H-M 'P m -3 m'
_symmetry_Int_Tables_number 221
_symmetry_space_group_name_Hall '-P 4 2 3'
_cell_length_a 5.041
_cell_length_b 5.041
_cell_length_c 5.041
_cell_angle_alpha 90.00
_cell_angle_beta 90.00
_cell_angle_gamma 90.00
loop_
_atom_site_label
_atom_site_type_symbol
_atom_site_fract_x
_atom_site_fract_y
_atom_site_fract_z
Sc1 Sc 0.000 0.000 0.000
Sc2 Sc 0.000 0.500 0.500
Mo1 Mo 0.500 0.500 0.500
# M_tot   0.0 μB/f.u.
# Final energy   -34.14 eV per cell
# E_form   2.02 eV per formula unit